[1]
A plane-wave DFT calculation with PBEsol was carried out for crystalline YPb5 at its relaxed geometry.

Results
The calculation puts the formation energy at -0.1874 eV per atom. The value obtained for the density of states at the Fermi level is 0.572 states/eV per atom. For the size of the total moment, the calculation gives 0.000 μB per cell. Its density is 10965 kg/m³. The symmetry is P2/m, No. 10.

Cell: 4.6735 4.6423 8.1858 Å, 73.58 90.00 90.00°
Sites, in units of the cell vectors:
1 Pb 0.5000 0.3334 0.3341
2 Pb 0.0000 0.1588 0.6818
3 Pb 0.5000 0.0000 0.0000
4 Pb 0.0000 0.8412 0.3182
5 Pb 0.5000 0.6666 0.6659
6 Y 0.0000 0.5000 0.0000


[2]
A plane-wave DFT calculation with PBEsol was carried out for crystalline CsHAu3 at its relaxed geometry.

Results
The value obtained for the density of states at the Fermi level is 1.256 states/eV per atom. For the size of the total moment, the calculation gives 0.847 μB per cell. Its density is 5777 kg/m³. The symmetry is Pm-3m, No. 221. The total energy is -1.356 eV per atom.

Cell: 5.9282 5.9282 5.9282 Å, 90.00 90.00 90.00°
Sites, in units of the cell vectors:
1 Cs 0.0000 0.0000 0.0000
2 H 0.5000 0.5000 0.5000
3 Au 0.0000 0.5000 0.0000
4 Au 0.0000 0.0000 0.5000
5 Au 0.5000 0.0000 0.0000


[3]
A plane-wave DFT calculation with PBEsol was carried out for crystalline MnAg2GeAu at its relaxed geometry.

Results
The calculation puts the formation energy at 0.9333 eV per atom. The value obtained for the density of states at the Fermi level is 0.528 states/eV per atom. For the size of the total moment, the calculation gives 3.541 μB per cell. Its density is 8730 kg/m³. The symmetry is P4/mmm, No. 123.

Cell: 4.4891 4.7847 4.7847 Å, 90.00 90.00 90.00°
Sites, in units of the cell vectors:
1 Ge 0.5000 0.0000 0.0000
2 Mn 0.0000 0.0000 0.0000
3 Au 0.5000 0.5000 0.5000
4 Ag 0.0000 0.0000 0.5000
5 Ag 0.0000 0.5000 0.0000


[4]
A plane-wave DFT calculation with PBEsol was carried out for crystalline W2AuSe at its relaxed geometry.

Results
The raw formation energy comes out at 0.546 eV/atom. The value obtained for the density of states at the Fermi level is 0.730 states/eV per atom. For the size of the total moment, the calculation gives 0.000 μB per cell. Its density is 17048 kg/m³. The symmetry is P4/mmm, No. 123.

Cell: 2.9418 4.6162 4.6162 Å, 90.00 90.00 90.00°
Sites, in units of the cell vectors:
1 Au 0.5000 0.5000 0.5000
2 Se 0.5000 0.0000 0.0000
3 W 0.0000 0.0000 0.5000
4 W 0.0000 0.5000 0.0000


[5]
A plane-wave DFT calculation with PBEsol was carried out for crystalline ZnIrN2O at its relaxed geometry.

Results
The raw formation energy comes out at 0.698 eV/atom. The value obtained for the density of states at the Fermi level is 0.375 states/eV per atom. For the size of the total moment, the calculation gives 0.000 μB per cell. Its density is 8444 kg/m³. The symmetry is P4/mmm, No. 123.

Cell: 3.7290 3.7290 4.2656 Å, 90.00 90.00 90.00°
Sites, in units of the cell vectors:
1 Zn 0.5000 0.5000 0.5000
2 Ir 0.0000 0.0000 0.0000
3 O 0.0000 0.0000 0.5000
4 N 0.0000 0.5000 0.0000
5 N 0.5000 0.0000 0.0000


[6]
A plane-wave DFT calculation with PBEsol was carried out for crystalline HgIrNO2 at its relaxed geometry.

Results
The raw formation energy comes out at 0.261 eV/atom. The value obtained for the density of states at the Fermi level is 0.603 states/eV per atom. For the size of the total moment, the calculation gives 0.000 μB per cell. Its density is 11956 kg/m³. The symmetry is P4/mmm, No. 123.

Cell: 3.6952 4.0612 4.0612 Å, 90.00 90.00 90.00°
Sites, in units of the cell vectors:
1 Ir 0.0000 0.0000 0.0000
2 Hg 0.5000 0.5000 0.5000
3 O 0.0000 0.0000 0.5000
4 O 0.0000 0.5000 0.0000
5 N 0.5000 0.0000 0.0000


[7]
A plane-wave DFT calculation with PBEsol was carried out for crystalline CaInHg at its relaxed geometry.

Results
The calculation puts the formation energy at -0.5284 eV per atom. The value obtained for the density of states at the Fermi level is 0.345 states/eV per atom. For the size of the total moment, the calculation gives 0.000 μB per cell. Its density is 7954 kg/m³. The symmetry is P-6m2, No. 187.

Cell: 3.5788 4.8934 4.8934 Å, 120.00 90.00 90.00°
Sites, in units of the cell vectors:
1 Ca 0.0000 0.0000 0.0000
2 Hg 0.5000 0.3333 0.6667
3 In 0.5000 0.6667 0.3333


[8]
A plane-wave DFT calculation with PBEsol was carried out for crystalline KAlHg3 at its relaxed geometry.

Results
The calculation puts the formation energy at -0.0922 eV per atom. The value obtained for the density of states at the Fermi level is 0.431 states/eV per atom. For the size of the total moment, the calculation gives 0.000 μB per cell. Its density is 7725 kg/m³. The symmetry is Pm-3m, No. 221.

Cell: 5.2361 5.2361 5.2361 Å, 90.00 90.00 90.00°
Sites, in units of the cell vectors:
1 K 0.5000 0.5000 0.5000
2 Hg 0.0000 0.5000 0.0000
3 Hg 0.0000 0.0000 0.5000
4 Hg 0.5000 0.0000 0.0000
5 Al 0.0000 0.0000 0.0000